Entry from Alexandria via LeMat-Bulk: an optimized crystal structure of Ho2ReB6 (PBE).

Cell: 9.1590 11.5418 3.6691 Å, 90.00 90.00 90.00°
With the nearest neighbours (Å) after each atom.
Space group Pbam (No. 55)
One atom of each set of equivalent atoms:
Ho  0.0574  0.1298  0.0000 x4  12 B 2.60-2.61, 2 Re 2.84-2.85
Ho  0.1767  0.4142  0.0000 x4  14 B 2.74-2.83
Re  0.1378  0.6791  0.0000 x4  10 B 2.36-2.41
B  0.0183  0.2882  0.5000 x4  3 B 1.79-1.85
B  0.0530  0.5670  0.5000 x4  3 B 1.79-1.83
B  0.0998  0.9720  0.5000 x4  3 B 1.84-1.94
B  0.1304  0.8144  0.5000 x4  3 B 1.74-1.84
B  0.2084  0.2347  0.5000 x4  3 B 1.74-1.85
B  0.2490  0.5812  0.5000 x4  3 B 1.80-1.87

Results
For the formation energy, the calculation gives -5.81 eV/f.u.